Version i
This record from the Alexandria database describes Dy3YOs after structural relaxation. The functional is PBE-GGA.

POSCAR file:
```
Dy3YOs
1.0
-0.938 4.984 -1.919
-5.338 -0.816 0.491
0.163 1.974 5.047
Y Os Dy
1 1 3
direct
0.500 0.500 0.500
0.000 0.000 0.000
0.000 0.500 0.000
0.000 0.000 0.500
0.500 0.000 0.000
```

Calculated values
* Fermi-level density of states: 6.9 states/eV/f.u.
* total magnetization: 0.01 μB/f.u.

Version ii
This record from the Alexandria database describes Dy3YOs after structural relaxation. The functional is PBE-GGA.

POSCAR file:
```
Dy3YOs
1.0
-3.914 -0.087 -4.854
-4.953 -0.873 4.010
-0.879 7.622 0.572
Dy Y Os
6 2 2
direct
0.423 0.335 0.201
0.426 0.856 0.951
0.926 0.496 0.451
0.923 0.018 0.701
0.926 0.496 0.950
0.426 0.856 0.450
0.429 0.334 0.701
0.929 0.019 0.201
0.175 0.678 0.701
0.675 0.675 0.201
```

Calculated values
* Fermi-level density of states: 5.6 states/eV/f.u.
* total magnetization: 0.00 μB/f.u.

Relative to the most stable structure, the computed energies are version i 0.090; version ii 0.000, all in eV/atom.

Version i
This record from the Alexandria database describes Dy4ZnOs after structural relaxation. The functional is PBE-GGA.

POSCAR file:
```
Dy4ZnOs
1.0
-3.707 -2.877 -1.230
3.104 -3.624 -0.877
-0.568 -2.092 6.596
Dy Zn Os
4 1 1
direct
0.501 0.997 0.261
0.501 0.998 0.735
0.001 0.498 0.735
0.001 0.497 0.261
0.501 0.497 0.998
0.001 0.997 0.498
```

Calculated values
* Fermi-level density of states: 8.0 states/eV/f.u.
* total magnetization: 0.00 μB/f.u.

Version ii
This record from the Alexandria database describes Dy4ZnOs after structural relaxation. The functional is PBE-GGA.

POSCAR file:
```
Dy4ZnOs
1.0
8.236 0.000 4.755
2.745 7.765 4.755
0.000 0.000 9.510
Dy Zn Os
16 4 4
direct
0.401 0.401 0.401
0.798 0.401 0.401
0.401 0.798 0.401
0.401 0.401 0.798
0.557 0.557 0.943
0.943 0.943 0.557
0.557 0.943 0.557
0.943 0.557 0.943
0.943 0.557 0.557
0.557 0.943 0.943
0.190 0.190 0.810
0.810 0.810 0.190
0.190 0.810 0.190
0.810 0.190 0.810
0.810 0.190 0.190
0.190 0.810 0.810
0.173 0.173 0.173
0.480 0.173 0.173
0.173 0.480 0.173
0.173 0.173 0.480
0.611 0.611 0.611
0.167 0.611 0.611
0.611 0.167 0.611
0.611 0.611 0.167
```

Calculated values
* Fermi-level density of states: 7.5 states/eV/f.u.
* total magnetization: 0.00 μB/f.u.

Relative to the most stable structure, the computed energies are version i 0.136; version ii 0.000, all in eV/atom.

Version i
This record from the Alexandria database describes Dy3Zn2Os after structural relaxation. The functional is PBE-GGA.

POSCAR file:
```
Dy3Zn2Os
1.0
-0.510 0.648 4.863
-0.843 -6.984 3.358
7.094 -0.468 0.806
Dy Zn Os
6 4 2
direct
0.830 0.341 0.767
0.500 0.000 0.238
0.170 0.659 0.233
0.830 0.341 0.233
0.170 0.659 0.767
0.500 0.000 0.762
0.000 0.000 0.000
0.000 0.000 0.500
0.335 0.332 0.500
0.665 0.668 0.500
0.337 0.327 0.000
0.663 0.673 0.000
```

Calculated values
* Fermi-level density of states: 3.9 states/eV/f.u.
* total magnetization: 0.00 μB/f.u.

Version ii
This record from the Alexandria database describes Dy3Zn2Os after structural relaxation. The functional is PBE-GGA.

POSCAR file:
```
Dy3Zn2Os
1.0
3.489 0.000 0.000
0.000 3.489 0.000
0.000 0.000 10.739
Dy Zn Os
3 2 1
direct
0.000 0.000 0.000
0.000 0.000 0.653
0.000 0.000 0.347
0.500 0.500 0.833
0.500 0.500 0.167
0.500 0.500 0.500
```

Calculated values
* Fermi-level density of states: 6.3 states/eV/f.u.
* total magnetization: 0.00 μB/f.u.

Relative to the most stable structure, the computed energies are version i 0.000; version ii 0.024, all in eV/atom.

Version i
This record from the Alexandria database describes DyPaP after structural relaxation. The functional is PBE-GGA.

POSCAR file:
```
DyPaP
1.0
6.464 0.000 0.000
0.000 3.735 0.000
0.000 -1.867 3.234
P Pa Dy
1 1 1
direct
0.999 0.000 0.000
0.264 0.333 0.667
0.736 0.667 0.333
```

Calculated values
* Fermi-level density of states: 4.1 states/eV/f.u.
* total magnetization: 1.32 μB/f.u.

Version ii
This record from the Alexandria database describes DyPaP after structural relaxation. The functional is PBE-GGA.

POSCAR file:
```
DyPaP
1.0
-1.197 -0.480 3.179
2.443 -2.344 0.566
8.534 7.428 4.335
P Pa Dy
2 2 2
direct
0.250 0.121 0.758
0.750 0.879 0.242
0.250 0.443 0.114
0.750 0.557 0.886
0.750 0.691 0.618
0.250 0.309 0.382
```

Calculated values
* Fermi-level density of states: 4.3 states/eV/f.u.
* total magnetization: 0.00 μB/f.u.

Relative to the most stable structure, the computed energies are version i 0.000; version ii 0.079, all in eV/atom.

Version i
This record from the Alexandria database describes Dy4PPb2 after structural relaxation. The functional is PBE-GGA.

POSCAR file:
```
Dy4PPb2
1.0
5.131 0.000 0.000
0.000 5.131 0.000
-2.565 -2.565 8.091
Pb P Dy
2 1 4
direct
0.637 0.637 0.275
0.363 0.363 0.725
0.000 0.000 0.000
0.832 0.832 0.664
0.168 0.168 0.336
0.000 0.500 0.000
0.500 0.000 0.000
```

Calculated values
* Fermi-level density of states: 4.3 states/eV/f.u.
* total magnetization: 0.00 μB/f.u.

Version ii
This record from the Alexandria database describes Dy4PPb2 after structural relaxation. The functional is PBE-GGA.

POSCAR file:
```
Dy4PPb2
1.0
-0.417 5.037 4.267
-4.313 -3.399 3.591
7.065 -6.205 2.612
Dy P Pb
8 2 4
direct
0.495 0.498 0.253
0.066 0.750 0.869
0.934 0.250 0.131
0.495 0.002 0.253
0.914 0.250 0.580
0.505 0.998 0.747
0.505 0.502 0.747
0.086 0.750 0.420
0.148 0.750 0.159
0.852 0.250 0.841
0.693 0.750 0.050
0.307 0.250 0.950
0.291 0.250 0.451
0.709 0.750 0.549
```

Calculated values
* Fermi-level density of states: 4.6 states/eV/f.u.
* total magnetization: 0.00 μB/f.u.

Relative to the most stable structure, the computed energies are version i 0.000; version ii 0.040, all in eV/atom.

Version i
This record from the Alexandria database describes PmDyP after structural relaxation. The functional is PBE-GGA.

POSCAR file:
```
PmDyP
1.0
-3.281 1.121 0.774
-0.685 -3.104 1.593
3.848 3.148 11.758
P Pm Dy
2 2 2
direct
0.250 0.131 0.738
0.750 0.869 0.262
0.250 0.431 0.138
0.750 0.569 0.862
0.750 0.695 0.610
0.250 0.305 0.390
```

Calculated values
* Fermi-level density of states: 2.2 states/eV/f.u.
* total magnetization: 0.00 μB/f.u.

Version ii
This record from the Alexandria database describes PmDyP after structural relaxation. The functional is PBE-GGA.

POSCAR file:
```
PmDyP
1.0
-2.845 0.236 -2.087
1.940 -1.052 -2.764
-0.988 -5.620 3.708
P Dy Pm
1 1 1
direct
0.621 0.621 0.242
0.242 0.242 0.485
0.987 0.987 0.973
```

Calculated values
* Fermi-level density of states: 2.9 states/eV/f.u.
* total magnetization: 0.00 μB/f.u.

Relative to the most stable structure, the computed energies are version i 0.011; version ii 0.000, all in eV/atom.

Version i
This record from the Alexandria database describes PmDyP after structural relaxation. The functional is PBE-GGA.

POSCAR file:
```
PmDyP
1.0
-1.033 -4.885 4.185
-0.463 -2.500 -3.032
3.591 0.576 1.559
P Pm Dy
1 1 1
direct
0.006 0.000 0.000
0.751 0.667 0.333
0.243 0.333 0.667
```

Calculated values
* Fermi-level density of states: 4.2 states/eV/f.u.
* total magnetization: 0.08 μB/f.u.

Version ii
This record from the Alexandria database describes PmDyP after structural relaxation. The functional is PBE-GGA.

POSCAR file:
```
PmDyP
1.0
-1.510 3.976 2.153
-2.877 3.017 -2.311
-4.565 0.416 1.309
P Pm Dy
1 1 1
direct
0.250 0.250 0.250
0.500 0.500 0.500
0.000 0.000 0.000
```

Calculated values
* Fermi-level density of states: 2.1 states/eV/f.u.
* total magnetization: 0.00 μB/f.u.

Relative to the most stable structure, the computed energies are version i 0.000; version ii 0.107, all in eV/atom.

Version i
This record from the Alexandria database describes DyP2Pt8 after structural relaxation. The functional is PBE-GGA.

POSCAR file:
```
DyP2Pt8
1.0
6.326 0.001 -0.004
5.029 3.837 -0.004
5.402 1.826 7.484
Dy P Pt
1 2 8
direct
0.500 0.500 0.500
0.059 0.059 0.710
0.941 0.941 0.290
0.222 0.222 0.414
0.823 0.823 0.845
0.177 0.177 0.155
0.167 0.167 0.848
0.476 0.476 0.869
0.524 0.524 0.131
0.778 0.778 0.586
0.833 0.833 0.152
```

Calculated values
* Fermi-level density of states: 5.5 states/eV/f.u.
* total magnetization: 0.00 μB/f.u.

Version ii
This record from the Alexandria database describes DyP2Pt8 after structural relaxation. The functional is PBE-GGA.

POSCAR file:
```
DyP2Pt8
1.0
-1.518 1.888 4.891
-4.842 1.449 -2.062
0.491 -8.233 0.285
Dy P Pt
1 2 8
direct
0.500 0.500 0.000
0.250 0.750 0.500
0.750 0.250 0.500
0.902 0.902 0.296
0.098 0.098 0.704
0.605 0.605 0.704
0.605 0.098 0.704
0.395 0.395 0.296
0.395 0.902 0.296
0.902 0.395 0.296
0.098 0.605 0.704
```

Calculated values
* Fermi-level density of states: 5.2 states/eV/f.u.
* total magnetization: 0.00 μB/f.u.

Relative to the most stable structure, the computed energies are version i 0.000; version ii 0.356, all in eV/atom.